# Tm5Pt4

A PBEsol-optimized structure of Tm5Pt4 (SCAN, Alexandria).

Cell: 7.2998 14.2250 7.3870 Å, 90.00 90.00 90.00°
Fractional positions:
Tm 0.0029 0.0923 0.1795
Tm 0.0029 0.4077 0.1795
Tm 0.1530 0.6232 0.3334
Tm 0.1530 0.8768 0.3334
Tm 0.1845 0.2500 0.4903
Tm 0.3155 0.7500 0.9903
Tm 0.3470 0.1232 0.8334
Tm 0.3470 0.3768 0.8334
Tm 0.4971 0.5923 0.6795
Tm 0.4971 0.9077 0.6795
Tm 0.5029 0.0923 0.3205
Tm 0.5029 0.4077 0.3205
Tm 0.6530 0.6232 0.1666
Tm 0.6530 0.8768 0.1666
Tm 0.6845 0.2500 0.0097
Tm 0.8155 0.7500 0.5097
Tm 0.8470 0.1232 0.6666
Tm 0.8470 0.3768 0.6666
Tm 0.9971 0.5923 0.8205
Tm 0.9971 0.9077 0.8205
Pt 0.0498 0.2500 0.8899
Pt 0.1777 0.7500 0.6452
Pt 0.1858 0.0406 0.5344
Pt 0.1858 0.4594 0.5344
Pt 0.3142 0.5406 0.0344
Pt 0.3142 0.9594 0.0344
Pt 0.3223 0.2500 0.1452
Pt 0.4502 0.7500 0.3899
Pt 0.5498 0.2500 0.6101
Pt 0.6777 0.7500 0.8548
Pt 0.6858 0.0406 0.9656
Pt 0.6858 0.4594 0.9656
Pt 0.8142 0.5406 0.4656
Pt 0.8142 0.9594 0.4656
Pt 0.8223 0.2500 0.3548
Pt 0.9502 0.7500 0.1101

Summary:
DFT formation energy, eV per atom: -1.46